The following is a PBE-GGA calculation of an optimized crystal structure of HgPCl, from Alexandria via LeMat-Bulk.

Cell lengths 4.677, 4.677, 4.677 Å; angles 60.00, 60.00, 60.00 degrees
Fractional coordinates of all 3 atoms:
Hg1 0.000 0.000 0.000
P1 0.250 0.250 0.250
Cl1 0.500 0.500 0.500

Total moment = 0.225 μB/atom
E = -0.146 Ry/atom
Space-group type = No. 216
Excess energy over the best structure of this formula in the dataset = 781 meV per atom
Uncorrected formation energy = 154 kJ/mol of formula units
D(E_F) = 3.11 states/eV/f.u.
Calculated density = 6.13 g cm⁻³

***

The following is a PBE-GGA calculation of an optimized crystal structure of LaAlTc2, from Alexandria via LeMat-Bulk.

Cell lengths 9.577, 9.577, 9.577 Å; angles 153.08, 153.08, 38.44 degrees
Fractional coordinates of all 8 atoms:
La1 0.000 0.000 0.000
La2 0.750 0.250 0.500
Al1 0.250 0.750 0.500
Al2 0.500 0.500 0.000
Tc1 0.256 0.625 0.131
Tc2 0.375 0.506 0.631
Tc3 0.494 0.125 0.869
Tc4 0.875 0.744 0.369

Formation enthalpy at 0 K = 0.32 eV per atom
Total moment = 0.000 μB/atom
E = -0.516 Ry/atom
Space-group type = No. 122
D(E_F) = 2.03 states/eV/f.u.
Calculated density = 6.69 g cm⁻³

***

The following is a PBE-GGA calculation of an optimized crystal structure of SmErCdPd, from Alexandria via LeMat-Bulk.

Cell lengths 5.155, 5.155, 5.155 Å; angles 60.00, 60.00, 60.00 degrees
Fractional coordinates of all 4 atoms:
Sm1 0.000 0.000 0.000
Er1 0.500 0.500 0.500
Cd1 0.750 0.750 0.750
Pd1 0.250 0.250 0.250

Formation enthalpy at 0 K = -0.53 eV per atom
Total moment = 0.000 μB/atom
E = -0.322 Ry/atom
Space-group type = No. 216
D(E_F) = 2.69 states/eV/f.u.
Calculated density = 9.20 g cm⁻³

***

Question: What is the formula in the first record?
Answer: HgPCl